*one*
A relaxed NiHg3Ir crystal, computed with GGA-PBE.

Cell lengths 4.8225, 4.8225, 4.8225 Å; angles 90.00, 90.00, 90.00 degrees
Closest atoms and distances in Å follow each position.
Fractional coordinates of all 5 atoms:
Ni1 0.0000 0.0000 0.0000  6 Hg 2.41
Hg1 0.5000 0.0000 0.0000  2 Ni 2.41
Hg2 0.0000 0.0000 0.5000  2 Ni 2.41
Hg3 0.0000 0.5000 0.0000  2 Ni 2.41
Ir1 0.5000 0.5000 0.5000  12 Hg 3.41

Calculated values
Theoretical density   12.624 g/cm3
Space group   Pm-3m (221)



*two*
A relaxed NiHg3Ir crystal, computed with GGA-PBE.

Cell lengths 5.2084, 5.2084, 5.2084 Å; angles 90.00, 90.00, 90.00 degrees
Closest atoms and distances in Å follow each position.
Fractional coordinates of all 5 atoms:
Ni1 0.5000 0.5000 0.5000  12 Hg 3.68
Hg1 0.5000 0.0000 0.0000  2 Ir 2.60
Ir1 0.0000 0.0000 0.0000  6 Hg 2.60
Hg2 0.0000 0.0000 0.5000  2 Ir 2.60
Hg3 0.0000 0.5000 0.0000  2 Ir 2.60

Calculated values
Theoretical density   10.021 g/cm3
Space group   Pm-3m (221)



Energies in eV/atom, measured from the most stable structure: *one* 0.043; *two* 0.000.



*one*
A relaxed HgIr2O2 crystal, computed with GGA-PBE.

Cell lengths 3.5720, 3.5720, 5.8215 Å; angles 72.13, 72.13, 90.00 degrees
Closest atoms and distances in Å follow each position.
Fractional coordinates of all 5 atoms:
Ir1 0.6265 0.6265 0.7471  4 O 2.21
Ir2 0.3735 0.3735 0.2529  4 O 2.21
Hg1 0.0000 0.0000 0.0000  8 Ir 2.85, 8 O 3.17
O1 0.7500 0.2500 0.5000  4 Ir 2.21
O2 0.2500 0.7500 0.5000  4 Ir 2.21

Calculated values
Theoretical density   15.310 g/cm3
Space group   I4/mmm (139)



*two*
A relaxed HgIr2O2 crystal, computed with GGA-PBE.

Cell lengths 8.5438, 8.5438, 2.6535 Å; angles 90.00, 90.00, 90.00 degrees
Closest atoms and distances in Å follow each position.
Fractional coordinates of all 10 atoms:
Hg1 0.5000 0.5000 0.0000  2 Hg 2.65
Ir1 0.1006 0.3994 0.0000  2 O 1.94
O1 0.7821 0.7179 0.5000  2 Ir 1.94
Ir2 0.6006 0.1006 0.0000  2 O 1.94
Ir3 0.3994 0.8994 0.0000  2 O 1.94
Ir4 0.8994 0.6006 0.0000  2 O 1.94
Hg2 0.0000 0.0000 0.0000  2 Hg 2.65
O2 0.2821 0.7821 0.5000  2 Ir 1.94
O3 0.7179 0.2179 0.5000  2 Ir 1.94
O4 0.2179 0.2821 0.5000  2 Ir 1.94

Calculated values
Theoretical density   10.579 g/cm3
Space group   P4/mbm (127)



Energies in eV/atom, measured from the most stable structure: *one* 0.009; *two* 0.000.